[1]
A plane-wave DFT calculation with PBE-GGA was carried out for an optimized crystal structure of ErThZr2.

The structure in POSCAR format:
```
ErThZr2
1.0
3.368 -0.003 0.001
1.681 2.918 0.001
1.686 0.974 10.957
Er Th Zr
1 1 2
Cartesian
5.059 2.921 10.950
3.373 1.947 5.478
1.678 0.969 8.238
1.678 0.969 2.730
```

Results
Calculated formation energy (eV/atom): 0.120
E (eV/atom): -7.15
E above lowest polymorph (eV per formula unit): 0.122
N(E_F) (states/eV/f.u.): 6.42

[2]
A plane-wave DFT calculation with PBE-GGA was carried out for an optimized crystal structure of Sc2AsSe.

The structure in POSCAR format:
```
Sc2AsSe
1.0
6.945 -0.032 0.001
5.086 4.730 -0.001
-6.004 -2.378 2.556
As Sc Se
1 2 1
Cartesian
2.954 -0.235 1.278
0.600 0.234 0.000
3.000 2.527 1.278
5.488 2.143 0.000
```

Results
E (eV/atom): -6.53
E above lowest polymorph (eV per formula unit): 0.886
Formation energy without anion corrections (meV per atom): -1332
N(E_F) (states/eV/f.u.): 2.63

[3]
A plane-wave DFT calculation with PBE-GGA was carried out for an optimized crystal structure of CsSe3Br.

The structure in POSCAR format:
```
CsSe3Br
1.0
5.453 0.000 0.000
0.000 5.453 0.000
0.000 0.000 5.453
Cs Se Br
1 3 1
Cartesian
2.727 2.727 2.727
0.000 2.727 0.000
0.000 0.000 2.727
2.727 0.000 0.000
0.000 0.000 0.000
```

Results
E (eV/atom): -2.44
Formation energy without anion corrections (meV per atom): 158
N(E_F) (states/eV/f.u.): 5.33

[4]
A plane-wave DFT calculation with PBE-GGA was carried out for an optimized crystal structure of KTa3Re.

The structure in POSCAR format:
```
KTa3Re
1.0
4.526 0.000 0.000
0.000 4.526 0.000
0.000 0.000 4.526
Re K Ta
1 1 3
Cartesian
2.263 2.263 2.263
0.000 0.000 0.000
0.000 2.263 0.000
0.000 0.000 2.263
2.263 0.000 0.000
```

Results
Calculated formation energy (eV/atom): 3.121
E (eV/atom): -6.70
E above lowest polymorph (eV per formula unit): 8.667
N(E_F) (states/eV/f.u.): 7.43

[5]
A plane-wave DFT calculation with PBE-GGA was carried out for an optimized crystal structure of CdPdSeN2.

The structure in POSCAR format:
```
CdPdSeN2
1.0
-2.229 3.306 -0.352
-1.846 -1.582 -3.180
-3.887 -2.261 3.382
N Se Pd Cd
2 1 1 1
Cartesian
-0.923 -0.791 -1.590
-1.114 1.653 -0.176
-1.944 -1.130 1.691
0.000 0.000 0.000
-3.981 -0.268 -0.075
```

Results
E (eV/atom): -4.08
E above lowest polymorph (eV per formula unit): 0.000
Formation energy without anion corrections (meV per atom): 1164
N(E_F) (states/eV/f.u.): 2.13

[6]
A plane-wave DFT calculation with PBE-GGA was carried out for an optimized crystal structure of ScCrRu4.

The structure in POSCAR format:
```
ScCrRu4
1.0
-2.680 -4.238 -1.088
-3.613 0.113 -3.642
0.761 -2.446 -4.446
Sc Cr Ru
1 1 4
Cartesian
-4.148 -4.928 -6.882
0.000 0.000 0.000
-3.416 -4.587 -3.984
-1.690 -3.688 -5.667
-3.884 -2.405 -5.264
-2.072 -2.462 -3.438
```

Results
Calculated formation energy (eV/atom): 0.090
E (eV/atom): -8.75
N(E_F) (states/eV/f.u.): 6.74

[7]
A plane-wave DFT calculation with PBE-GGA was carried out for an optimized crystal structure of Cs2Tl2Hg3.

The structure in POSCAR format:
```
Cs2Tl2Hg3
1.0
-5.228 1.938 1.629
3.027 -4.486 4.593
3.204 6.611 2.417
Cs Tl Hg
2 2 3
Cartesian
0.078 5.350 4.232
0.926 -1.288 4.407
-0.370 2.107 6.606
1.374 1.956 2.034
0.000 0.000 0.000
-1.396 1.926 3.529
2.400 2.137 5.110
```

Results
Calculated formation energy (eV/atom): -0.178
E (eV/atom): -1.23
N(E_F) (states/eV/f.u.): 3.26

[8]
A plane-wave DFT calculation with PBE-GGA was carried out for an optimized crystal structure of Li2Ge4Pd5.

The structure in POSCAR format:
```
Li2Ge4Pd5
1.0
3.906 0.000 0.000
0.000 5.518 0.000
-1.953 -2.759 8.479
Li Ge Pd
2 4 5
Cartesian
1.953 2.759 1.267
0.000 0.000 7.212
1.953 2.759 3.751
0.000 1.499 0.000
0.000 0.000 4.728
0.000 4.019 0.000
0.000 1.387 2.617
1.953 1.372 5.863
0.000 4.131 2.617
1.953 0.000 0.000
1.953 -1.372 5.863
```

Results
Calculated formation energy (eV/atom): -0.316
E (eV/atom): -4.70
N(E_F) (states/eV/f.u.): 4.02